1.
Sc2CoIrCl: relaxed, PBE-GGA.

Results
For the spin magnetization, the calculation gives 1.50 Bohr magnetons per cell. Its symmetry is P4/mmm. The value obtained for the formation energy (no corrections) is 285 meV per atom.

Unit cell a=4.6799 b=4.6799 c=4.3792 alpha=90.00 beta=90.00 gamma=90.00
With the nearest neighbours (Å) after each atom.
Atoms (fractional coordinates):
Sc: 0.0000 0.5000 0.0000  2 Cl 2.34
Sc: 0.5000 0.0000 0.0000  2 Cl 2.34
Co: 0.0000 0.0000 0.5000  8 Sc 3.20, 4 Ir 3.31
Ir: 0.5000 0.5000 0.5000  2 Cl 2.19
Cl: 0.5000 0.5000 0.0000  2 Ir 2.19, 4 Sc 2.34

***

2.
Sm8CoIr3Cl4: relaxed, PBE-GGA.

Results
For the spin magnetization, the calculation gives 0.00 Bohr magnetons per cell. Its symmetry is R-3m. The value obtained for the formation energy (no corrections) is -1106 meV per atom.

Unit cell a=8.8050 b=8.8050 c=8.8050 alpha=54.73 beta=54.73 gamma=54.73
With the nearest neighbours (Å) after each atom.
Atoms (fractional coordinates):
Sm: 0.2349 0.2349 0.2349  3 Ir 2.79
Sm: 0.2425 0.7291 0.7291  1 Co 2.72, 2 Ir 2.80
Sm: 0.2709 0.2709 0.7575  1 Co 2.72, 2 Ir 2.80
Sm: 0.2709 0.7575 0.2709  1 Co 2.72, 2 Ir 2.80
Sm: 0.7291 0.2425 0.7291  1 Co 2.72, 2 Ir 2.80
Sm: 0.7291 0.7291 0.2425  1 Co 2.72, 2 Ir 2.80
Sm: 0.7575 0.2709 0.2709  1 Co 2.72, 2 Ir 2.80
Sm: 0.7651 0.7651 0.7651  3 Ir 2.79
Co: 0.5000 0.5000 0.5000  6 Sm 2.72
Ir: 0.0000 0.0000 0.5000  6 Sm 2.79-2.80
Ir: 0.0000 0.5000 0.0000  6 Sm 2.79-2.80
Ir: 0.5000 0.0000 0.0000  6 Sm 2.79-2.80
Cl: 0.0000 0.0000 0.0000  6 Sm 3.28
Cl: 0.0000 0.5000 0.5000  6 Sm 3.21
Cl: 0.5000 0.0000 0.5000  6 Sm 3.21
Cl: 0.5000 0.5000 0.0000  6 Sm 3.21

***

3.
Sm8Co3IrCl4: relaxed, PBE-GGA.

Results
For the spin magnetization, the calculation gives 0.00 Bohr magnetons per cell. Its symmetry is C2/m. The value obtained for the formation energy (no corrections) is -924 meV per atom.

Unit cell a=7.9028 b=7.9028 c=8.7605 alpha=116.85 beta=116.85 gamma=60.00
With the nearest neighbours (Å) after each atom.
Atoms (fractional coordinates):
Sm: 0.2257 0.7383 0.7019  2 Co 2.71, 1 Ir 2.78
Sm: 0.2329 0.2329 0.6983  3 Co 2.72
Sm: 0.2617 0.2617 0.2981  2 Co 2.71, 1 Ir 2.78
Sm: 0.2617 0.7743 0.2981  2 Co 2.71, 1 Ir 2.78
Sm: 0.7383 0.2257 0.7019  2 Co 2.71, 1 Ir 2.78
Sm: 0.7383 0.7383 0.7019  2 Co 2.71, 1 Ir 2.78
Sm: 0.7671 0.7671 0.3017  3 Co 2.72
Sm: 0.7743 0.2617 0.2981  2 Co 2.71, 1 Ir 2.78
Co: 0.0000 0.0000 0.5000  6 Sm 2.71-2.72
Co: 0.0000 0.5000 0.5000  6 Sm 2.71-2.72
Co: 0.5000 0.0000 0.5000  6 Sm 2.71-2.72
Ir: 0.5000 0.5000 0.5000  6 Sm 2.78
Cl: 0.0000 0.0000 0.0000  6 Sm 3.15
Cl: 0.0000 0.5000 0.0000  6 Sm 3.21
Cl: 0.5000 0.0000 0.0000  6 Sm 3.21
Cl: 0.5000 0.5000 0.0000  6 Sm 3.20-3.21

***

4.
CoTcIr2Cl: relaxed, PBE-GGA.

Results
For the spin magnetization, the calculation gives 1.48 Bohr magnetons per cell. Its symmetry is P4/mmm. The value obtained for the formation energy (no corrections) is 1754 meV per atom.

Unit cell a=4.7238 b=4.7238 c=4.6082 alpha=90.00 beta=90.00 gamma=90.00
With the nearest neighbours (Å) after each atom.
Atoms (fractional coordinates):
Co: 0.0000 0.0000 0.0000  2 Tc 2.30
Tc: 0.0000 0.0000 0.5000  2 Co 2.30, 4 Ir 2.36
Ir: 0.0000 0.5000 0.5000  2 Tc 2.36
Ir: 0.5000 0.0000 0.5000  2 Tc 2.36
Cl: 0.5000 0.5000 0.0000  8 Ir 3.30, 4 Co 3.34

***

5.
ZrCoIr2Cl: relaxed, PBE-GGA.

Results
For the spin magnetization, the calculation gives 1.64 Bohr magnetons per cell. Its symmetry is P4/mmm. The value obtained for the formation energy (no corrections) is 986 meV per atom.

Unit cell a=4.4110 b=4.4110 c=4.6075 alpha=90.00 beta=90.00 gamma=90.00
With the nearest neighbours (Å) after each atom.
Atoms (fractional coordinates):
Zr: 0.0000 0.0000 0.0000  2 Cl 2.30
Co: 0.5000 0.5000 0.0000  4 Zr 3.12, 8 Ir 3.19
Ir: 0.0000 0.5000 0.5000  2 Cl 2.21
Ir: 0.5000 0.0000 0.5000  2 Cl 2.21
Cl: 0.0000 0.0000 0.5000  4 Ir 2.21, 2 Zr 2.30

***

6.
K2CoCl: relaxed, PBE-GGA.

Results
For the spin magnetization, the calculation gives 1.99 Bohr magnetons per cell. Its symmetry is P1. The value obtained for the formation energy (no corrections) is -191 meV per atom.

Unit cell a=3.9426 b=4.0916 c=8.5225 alpha=76.37 beta=89.96 gamma=89.99
With the nearest neighbours (Å) after each atom.
Atoms (fractional coordinates):
K: 0.0000 0.0000 0.0000  4 Cl 3.20
K: 0.0024 0.7415 0.5302  2 Cl 3.11-3.12
Co: 0.5028 0.3631 0.2826  8 K 3.50-3.69, 1 Cl 3.82
Cl: 0.5004 0.5873 0.8215  6 K 3.11-3.20

***

7.
KCoCl2: relaxed, PBE-GGA.

Results
For the spin magnetization, the calculation gives 2.12 Bohr magnetons per cell. Its symmetry is F-43m. The value obtained for the formation energy (no corrections) is 91 meV per atom.

Unit cell a=5.1062 b=5.1062 c=5.1062 alpha=60.00 beta=60.00 gamma=60.00
With the nearest neighbours (Å) after each atom.
Atoms (fractional coordinates):
K: 0.0000 0.0000 0.0000  4 Cl 3.13, 4 Co 3.13
Co: 0.2500 0.2500 0.2500  4 Cl 3.13, 4 K 3.13
Cl: 0.5000 0.5000 0.5000  4 Cl 3.13, 4 Co 3.13
Cl: 0.7500 0.7500 0.7500  4 Cl 3.13, 4 K 3.13

***

8.
K2CoCl: relaxed, PBE-GGA.

Results
For the spin magnetization, the calculation gives 2.00 Bohr magnetons per cell. Its symmetry is F-43m. The value obtained for the formation energy (no corrections) is 209 meV per atom.

Unit cell a=5.6540 b=5.6540 c=5.6540 alpha=60.00 beta=60.00 gamma=60.00
With the nearest neighbours (Å) after each atom.
Atoms (fractional coordinates):
K: 0.0000 0.0000 0.0000  4 Co 3.46, 4 K 3.46
K: 0.2500 0.2500 0.2500  4 Cl 3.46, 4 K 3.46
Co: 0.7500 0.7500 0.7500  4 K 3.46, 4 Cl 3.46
Cl: 0.5000 0.5000 0.5000  4 Co 3.46, 4 K 3.46

***

9.
KCo4Cl7: relaxed, PBE-GGA.

Results
For the spin magnetization, the calculation gives 20.00 Bohr magnetons per cell. Its symmetry is Pmn2_1. The value obtained for the formation energy (no corrections) is -632 meV per atom.

Unit cell a=15.6210 b=6.2524 c=6.0046 alpha=90.00 beta=90.00 gamma=90.00
With the nearest neighbours (Å) after each atom.
Atoms (fractional coordinates):
K: 0.0000 0.1790 0.0000  9 Cl 3.45-3.76
K: 0.5000 0.8210 0.5000  9 Cl 3.45-3.76
Co: 0.1224 0.6821 0.5696  4 Cl 2.26-2.29
Co: 0.2493 0.1902 0.5567  4 Cl 2.26-2.32
Co: 0.2507 0.8098 0.0567  4 Cl 2.26-2.32
Co: 0.3776 0.3179 0.0696  4 Cl 2.26-2.29
Co: 0.6224 0.3179 0.0696  4 Cl 2.26-2.29
Co: 0.7493 0.8098 0.0567  4 Cl 2.26-2.32
Co: 0.7507 0.1902 0.5567  4 Cl 2.26-2.32
Co: 0.8776 0.6821 0.5696  4 Cl 2.26-2.29
Cl: 0.0000 0.8409 0.4539  2 Co 2.26
Cl: 0.1183 0.3272 0.4823  2 Co 2.26-2.28
Cl: 0.1188 0.7006 0.9501  2 Co 2.26-2.29
Cl: 0.2459 0.8365 0.4426  3 Co 2.29-2.32
Cl: 0.2541 0.1635 0.9426  3 Co 2.29-2.32
Cl: 0.3812 0.2994 0.4501  2 Co 2.26-2.29
Cl: 0.3817 0.6728 0.9823  2 Co 2.26-2.28
Cl: 0.5000 0.1591 0.9539  2 Co 2.26
Cl: 0.6183 0.6728 0.9823  2 Co 2.26-2.28
Cl: 0.6188 0.2994 0.4501  2 Co 2.26-2.29
Cl: 0.7459 0.1635 0.9426  3 Co 2.29-2.32
Cl: 0.7541 0.8365 0.4426  3 Co 2.29-2.32
Cl: 0.8812 0.7006 0.9501  2 Co 2.26-2.29
Cl: 0.8817 0.3272 0.4823  2 Co 2.26-2.28

***

10.
K2CoCl4: relaxed, PBE-GGA.

Results
For the spin magnetization, the calculation gives 12.00 Bohr magnetons per cell. Its symmetry is P2_1/c. The value obtained for the formation energy (no corrections) is -1390 meV per atom.

Unit cell a=6.9848 b=9.6624 c=12.8736 alpha=90.00 beta=106.71 gamma=90.00
With the nearest neighbours (Å) after each atom.
Atoms (fractional coordinates):
K: 0.0841 0.0850 0.3271  7 Cl 3.18-3.39
K: 0.0841 0.4150 0.8271  7 Cl 3.18-3.39
K: 0.2817 0.6508 0.5148  7 Cl 3.13-3.48
K: 0.2817 0.8492 0.0148  7 Cl 3.13-3.48
K: 0.7183 0.1508 0.9852  7 Cl 3.13-3.48
K: 0.7183 0.3492 0.4852  7 Cl 3.13-3.48
K: 0.9159 0.5850 0.1729  7 Cl 3.18-3.39
K: 0.9159 0.9150 0.6729  7 Cl 3.18-3.39
Co: 0.3696 0.1564 0.6782  4 Cl 2.25-2.28
Co: 0.3696 0.3436 0.1782  4 Cl 2.25-2.28
Co: 0.6304 0.6564 0.8218  4 Cl 2.25-2.28
Co: 0.6304 0.8436 0.3218  4 Cl 2.25-2.28
Cl: 0.1863 0.1556 0.1017  1 Co 2.28
Cl: 0.1863 0.3444 0.6017  1 Co 2.28
Cl: 0.2808 0.5264 0.0662  1 Co 2.25
Cl: 0.2808 0.9736 0.5662  1 Co 2.25
Cl: 0.2828 0.1112 0.8326  1 Co 2.28
Cl: 0.2828 0.3888 0.3326  1 Co 2.28
Cl: 0.2986 0.6959 0.7856  1 Co 2.26
Cl: 0.2986 0.8041 0.2856  1 Co 2.26
Cl: 0.7014 0.1959 0.7144  1 Co 2.26
Cl: 0.7014 0.3041 0.2144  1 Co 2.26
Cl: 0.7171 0.6112 0.6674  1 Co 2.28
Cl: 0.7171 0.8888 0.1674  1 Co 2.28
Cl: 0.7192 0.0264 0.4338  1 Co 2.25
Cl: 0.7192 0.4736 0.9338  1 Co 2.25
Cl: 0.8137 0.6556 0.3983  1 Co 2.28
Cl: 0.8137 0.8444 0.8983  1 Co 2.28

***

11.
KCoCl3: relaxed, PBE-GGA.

Results
For the spin magnetization, the calculation gives 5.88 Bohr magnetons per cell. Its symmetry is R3c. The value obtained for the formation energy (no corrections) is -1049 meV per atom.

Unit cell a=6.8544 b=6.8544 c=6.8544 alpha=61.05 beta=61.05 gamma=61.05
With the nearest neighbours (Å) after each atom.
Atoms (fractional coordinates):
K: 0.0000 0.0000 0.0000  9 Cl 3.11-3.45
K: 0.5000 0.5000 0.5000  9 Cl 3.11-3.45
Co: 0.2503 0.2503 0.2503  6 Cl 2.47
Co: 0.7503 0.7503 0.7503  6 Cl 2.47
Cl: 0.0002 0.4476 0.5532  2 Co 2.47
Cl: 0.0532 0.9476 0.5002  2 Co 2.47
Cl: 0.4476 0.5532 0.0002  2 Co 2.47
Cl: 0.5002 0.0532 0.9476  2 Co 2.47
Cl: 0.5532 0.0002 0.4476  2 Co 2.47
Cl: 0.9476 0.5002 0.0532  2 Co 2.47

***

12.
KCo2Cl: relaxed, PBE-GGA.

Results
For the spin magnetization, the calculation gives 3.74 Bohr magnetons per cell. Its symmetry is Imm2. The value obtained for the formation energy (no corrections) is 299 meV per atom.

Unit cell a=6.0485 b=6.0485 c=6.0485 alpha=149.02 beta=118.81 gamma=70.16
With the nearest neighbours (Å) after each atom.
Atoms (fractional coordinates):
K: 0.0000 0.0000 0.0000  2 Cl 3.19, 2 K 3.23, 6 Co 3.26-3.50
Co: 0.4556 0.4556 0.0000  2 Co 2.21, 2 Cl 2.39
Co: 0.6083 0.1083 0.5000  2 Co 2.21
Cl: 0.2776 0.7776 0.5000  2 Co 2.39

***

> What is the spin magnetization in the eighth record?

2.00 Bohr magnetons per cell

***

> spin magnetization of number 2 (Sm8CoIr3Cl4)?

0.00 Bohr magnetons per cell

***

> The highest formation energy (no corrections) belongs to which entry?

CoTcIr2Cl

***

> What is the formation energy (no corrections) in the first record?

285 meV per atom